Version a
Material: Li2Cd2Pb
Method: DFT, PBEsol
State: relaxed

abc: 7.614 7.614 7.614
angles: 149.84 149.84 43.18
Positions (direct):
Li 0.250 0.750 0.500
Li 0.750 0.250 0.500
Cd 0.108 0.108 0.000
Cd 0.892 0.892 0.000
Pb 0.500 0.500 0.000

Results
DOS(E_F) ... 0.392 states/eV per atom
Total magnetic moment ... 0.0 Bohr magnetons per cell

Version b
Material: Li2Cd2Pb
Method: DFT, PBEsol
State: relaxed

abc: 8.139 8.139 3.131
angles: 90.00 90.00 90.00
Positions (direct):
Li 0.170 0.330 0.000
Li 0.330 0.830 0.000
Li 0.670 0.170 0.000
Li 0.830 0.670 0.000
Cd 0.127 0.627 0.500
Cd 0.373 0.127 0.500
Cd 0.627 0.873 0.500
Cd 0.873 0.373 0.500
Pb 0.000 0.000 0.500
Pb 0.500 0.500 0.500

Results
DOS(E_F) ... 0.296 states/eV per atom
Total magnetic moment ... 0.0 Bohr magnetons per cell

Verdict on stability: version a comes out at the bottom.

Version a
Material: LiCdPb
Method: DFT, PBEsol
State: relaxed

abc: 4.915 4.915 3.301
angles: 90.00 90.00 120.00
Positions (direct):
Li 0.000 0.000 0.000
Cd 0.667 0.333 0.296
Pb 0.333 0.667 0.597

Results
DOS(E_F) ... 0.468 states/eV per atom
Total magnetic moment ... 0.0 Bohr magnetons per cell

Version b
Material: LiCdPb
Method: DFT, PBEsol
State: relaxed

abc: 6.306 6.306 6.306
angles: 149.09 149.09 44.27
Positions (direct):
Li 0.000 0.000 0.000
Cd 0.636 0.636 0.000
Pb 0.331 0.331 0.000

Results
DOS(E_F) ... 0.318 states/eV per atom
Total magnetic moment ... 0.0 Bohr magnetons per cell

Verdict on stability: version a comes out at the bottom.

Version a
Material: Sr2Li2Cd
Method: DFT, PBEsol
State: relaxed

abc: 7.768 7.768 5.110
angles: 90.00 90.00 90.00
Positions (direct):
Sr 0.187 0.313 0.000
Sr 0.313 0.813 0.000
Sr 0.687 0.187 0.000
Sr 0.813 0.687 0.000
Li 0.129 0.629 0.500
Li 0.371 0.129 0.500
Li 0.629 0.871 0.500
Li 0.871 0.371 0.500
Cd 0.000 0.000 0.500
Cd 0.500 0.500 0.500

Results
DOS(E_F) ... 0.886 states/eV per atom
Total magnetic moment ... 0.0 Bohr magnetons per cell

Version b
Material: Sr2Li2Cd
Method: DFT, PBEsol
State: relaxed

abc: 10.313 10.313 10.313
angles: 157.56 157.56 31.94
Positions (direct):
Sr 0.097 0.097 0.000
Sr 0.903 0.903 0.000
Li 0.250 0.750 0.500
Li 0.750 0.250 0.500
Cd 0.500 0.500 0.000

Results
DOS(E_F) ... 0.550 states/eV per atom
Total magnetic moment ... 0.0 Bohr magnetons per cell

Verdict on stability: version a comes out at the bottom.

Version a
Material: LiCdTc
Method: DFT, PBEsol
State: relaxed

abc: 2.742 2.742 7.236
angles: 90.00 90.00 120.00
Positions (direct):
Li 0.000 0.000 0.000
Cd 0.667 0.333 0.345
Tc 0.333 0.667 0.689

Results
DOS(E_F) ... 0.549 states/eV per atom
Total magnetic moment ... 0.0 Bohr magnetons per cell

Version b
Material: LiCdTc
Method: DFT, PBEsol
State: relaxed

abc: 4.127 4.127 4.127
angles: 60.00 60.00 60.00
Positions (direct):
Li 0.000 0.000 0.000
Cd 0.750 0.750 0.750
Tc 0.250 0.250 0.250

Results
DOS(E_F) ... 0.395 states/eV per atom
Total magnetic moment ... 2.0 Bohr magnetons per cell

Verdict on stability: version b comes out at the bottom.

Version a
Material: LiTlCd
Method: DFT, PBEsol
State: relaxed

abc: 4.916 4.916 3.206
angles: 90.00 90.00 120.00
Positions (direct):
Li 0.000 0.000 0.000
Tl 0.333 0.667 0.480
Cd 0.667 0.333 0.516

Results
DOS(E_F) ... 0.263 states/eV per atom
Total magnetic moment ... 0.0 Bohr magnetons per cell

Version b
Material: LiTlCd
Method: DFT, PBEsol
State: relaxed

abc: 5.195 5.195 5.195
angles: 143.00 130.39 63.48
Positions (direct):
Li 0.000 0.000 0.000
Tl 0.331 0.331 0.000
Cd 0.664 0.664 0.000

Results
DOS(E_F) ... 0.343 states/eV per atom
Total magnetic moment ... 0.0 Bohr magnetons per cell

Version c
Material: LiTlCd
Method: DFT, PBEsol
State: relaxed

abc: 3.185 3.188 6.590
angles: 103.25 103.96 90.13
Positions (direct):
Li 0.000 0.000 0.000
Tl 0.663 0.662 0.326
Cd 0.355 0.361 0.709

Results
DOS(E_F) ... 0.377 states/eV per atom
Total magnetic moment ... 0.0 Bohr magnetons per cell

Verdict on stability: version a comes out at the bottom.

Version a
Material: Li2CdW
Method: DFT, PBEsol
State: relaxed

abc: 2.646 2.646 9.253
angles: 90.00 90.00 90.00
Positions (direct):
Li 0.000 0.000 0.242
Li 0.000 0.000 0.758
Cd 0.500 0.500 0.500
W 0.500 0.500 0.000

Results
DOS(E_F) ... 0.653 states/eV per atom
Total magnetic moment ... 0.0 Bohr magnetons per cell

Version b
Material: Li2CdW
Method: DFT, PBEsol
State: relaxed

abc: 4.913 4.913 4.913
angles: 131.94 131.94 70.33
Positions (direct):
Li 0.250 0.750 0.500
Li 0.750 0.250 0.500
Cd 0.000 0.000 0.000
W 0.500 0.500 0.000

Results
DOS(E_F) ... 0.361 states/eV per atom
Total magnetic moment ... 2.1 Bohr magnetons per cell

Version c
Material: Li2CdW
Method: DFT, PBEsol
State: relaxed

abc: 2.587 4.518 5.670
angles: 90.00 103.06 90.00
Positions (direct):
Li 0.000 0.000 0.000
Li 0.105 0.500 0.231
Cd 0.358 0.500 0.731
W 0.733 0.000 0.485

Results
DOS(E_F) ... 0.751 states/eV per atom
Total magnetic moment ... 0.0 Bohr magnetons per cell

Verdict on stability: version b comes out at the bottom.

Version a
Material: Li2CdW
Method: DFT, PBEsol
State: relaxed

abc: 2.714 2.714 9.831
angles: 90.00 90.00 111.02
Positions (direct):
Li 0.000 0.000 0.000
Li 0.500 0.500 0.265
Cd 0.500 0.500 0.758
W 0.000 0.000 0.501

Results
DOS(E_F) ... 0.612 states/eV per atom
Total magnetic moment ... 0.0 Bohr magnetons per cell

Version b
Material: Li2CdW
Method: DFT, PBEsol
State: relaxed

abc: 3.932 3.932 4.085
angles: 90.00 90.00 90.00
Positions (direct):
Li 0.000 0.500 0.000
Li 0.500 0.000 0.000
Cd 0.000 0.000 0.500
W 0.500 0.500 0.500

Results
DOS(E_F) ... 0.629 states/eV per atom
Total magnetic moment ... 1.2 Bohr magnetons per cell

Verdict on stability: version b comes out at the bottom.

Version a
Material: LiZnCd
Method: DFT, PBEsol
State: relaxed

abc: 5.041 5.041 5.041
angles: 143.04 141.00 54.81
Positions (direct):
Li 0.000 0.000 0.000
Zn 0.648 0.648 0.000
Cd 0.328 0.328 0.000

Results
DOS(E_F) ... 0.246 states/eV per atom
Total magnetic moment ... 0.0 Bohr magnetons per cell

Version b
Material: LiZnCd
Method: DFT, PBEsol
State: relaxed

abc: 2.898 2.898 7.012
angles: 90.00 90.00 120.00
Positions (direct):
Li 0.000 0.000 0.000
Zn 0.333 0.667 0.694
Cd 0.667 0.333 0.346

Results
DOS(E_F) ... 0.339 states/eV per atom
Total magnetic moment ... 0.0 Bohr magnetons per cell

Version c
Material: LiZnCd
Method: DFT, PBEsol
State: relaxed

abc: 4.545 4.545 2.743
angles: 90.00 90.00 120.00
Positions (direct):
Li 0.000 0.000 0.000
Zn 0.333 0.667 0.306
Cd 0.667 0.333 0.617

Results
DOS(E_F) ... 0.313 states/eV per atom
Total magnetic moment ... 0.0 Bohr magnetons per cell

Verdict on stability: version b comes out at the bottom.

Version a
Material: Mg4Cd3
Method: DFT, PBEsol
State: relaxed

abc: 11.039 11.039 11.039
angles: 160.60 160.60 27.58
Positions (direct):
Mg 0.070 0.070 0.000
Mg 0.354 0.354 0.000
Mg 0.646 0.646 0.000
Mg 0.930 0.930 0.000
Cd 0.213 0.213 0.000
Cd 0.500 0.500 0.000
Cd 0.787 0.787 0.000

Results
DOS(E_F) ... 0.307 states/eV per atom
Total magnetic moment ... 0.0 Bohr magnetons per cell

Version b
Material: Mg4Cd3
Method: DFT, PBEsol
State: relaxed

abc: 5.597 5.597 5.662
angles: 90.00 90.00 120.00
Positions (direct):
Mg 0.000 0.000 0.245
Mg 0.000 0.000 0.755
Mg 0.333 0.667 0.000
Mg 0.667 0.333 0.000
Cd 0.000 0.500 0.500
Cd 0.500 0.000 0.500
Cd 0.500 0.500 0.500

Results
DOS(E_F) ... 0.394 states/eV per atom
Total magnetic moment ... 0.0 Bohr magnetons per cell

Verdict on stability: version b comes out at the bottom.

Version a
Material: Mg3Cd5
Method: DFT, PBEsol
State: relaxed

abc: 11.087 8.327 8.313
angles: 83.56 48.27 48.17
Positions (direct):
Mg 0.182 0.182 0.818
Mg 0.250 0.250 0.250
Mg 0.318 0.682 0.318
Mg 0.682 0.318 0.682
Mg 0.750 0.750 0.750
Mg 0.818 0.818 0.182
Cd 0.064 0.742 0.258
Cd 0.242 0.436 0.564
Cd 0.250 0.750 0.750
Cd 0.258 0.936 0.064
Cd 0.436 0.242 0.758
Cd 0.564 0.758 0.242
Cd 0.742 0.064 0.936
Cd 0.750 0.250 0.250
Cd 0.758 0.564 0.436
Cd 0.936 0.258 0.742

Results
DOS(E_F) ... 0.341 states/eV per atom
Total magnetic moment ... 0.0 Bohr magnetons per cell

Version b
Material: Mg3Cd5
Method: DFT, PBEsol
State: relaxed

abc: 6.152 6.152 4.395
angles: 90.00 90.00 92.74
Positions (direct):
Mg 0.000 0.000 0.000
Mg 0.257 0.743 0.500
Mg 0.743 0.257 0.500
Cd 0.000 0.500 0.000
Cd 0.242 0.242 0.500
Cd 0.500 0.000 0.000
Cd 0.500 0.500 0.000
Cd 0.758 0.758 0.500

Results
DOS(E_F) ... 0.364 states/eV per atom
Total magnetic moment ... 0.0 Bohr magnetons per cell

Verdict on stability: version a comes out at the bottom.

Version a
Material: MgCdMo2
Method: DFT, PBEsol
State: relaxed

abc: 3.547 3.547 5.478
angles: 90.00 90.00 90.00
Positions (direct):
Mg 0.000 0.000 0.000
Cd 0.000 0.000 0.500
Mo 0.500 0.500 0.210
Mo 0.500 0.500 0.790

Results
DOS(E_F) ... 0.674 states/eV per atom
Total magnetic moment ... 0.0 Bohr magnetons per cell

Version b
Material: MgCdMo2
Method: DFT, PBEsol
State: relaxed

abc: 4.553 4.553 4.553
angles: 60.00 60.00 60.00
Positions (direct):
Mg 0.000 0.000 0.000
Cd 0.750 0.750 0.750
Mo 0.250 0.250 0.250
Mo 0.500 0.500 0.500

Results
DOS(E_F) ... 0.636 states/eV per atom
Total magnetic moment ... 0.0 Bohr magnetons per cell

Verdict on stability: version a comes out at the bottom.

Version a
Material: Mg2CdN
Method: DFT, PBEsol
State: relaxed

abc: 4.502 4.502 4.502
angles: 60.00 60.00 60.00
Positions (direct):
Mg 0.250 0.250 0.250
Mg 0.750 0.750 0.750
Cd 0.000 0.000 0.000
N 0.500 0.500 0.500

Results
DOS(E_F) ... 0.318 states/eV per atom
Total magnetic moment ... 0.0 Bohr magnetons per cell

Version b
Material: Mg2CdN
Method: DFT, PBEsol
State: relaxed

abc: 6.040 6.040 6.040
angles: 117.98 117.98 93.54
Positions (direct):
Mg 0.375 0.024 0.149
Mg 0.774 0.625 0.649
Mg 0.875 0.226 0.851
Mg 0.976 0.125 0.351
Cd 0.250 0.750 0.500
Cd 0.500 0.500 0.000
N 0.000 0.000 0.000
N 0.750 0.250 0.500

Results
DOS(E_F) ... 0.545 states/eV per atom
Total magnetic moment ... 0.0 Bohr magnetons per cell

Verdict on stability: version a comes out at the bottom.

Version a
Material: MgCdS2N
Method: DFT, PBEsol
State: relaxed

abc: 4.849 4.849 3.980
angles: 90.00 90.00 90.00
Positions (direct):
Mg 0.000 0.000 0.000
Cd 0.500 0.500 0.500
S 0.000 0.500 0.000
S 0.500 0.000 0.000
N 0.000 0.000 0.500

Results
DOS(E_F) ... 0.619 states/eV per atom
Total magnetic moment ... 2.8 Bohr magnetons per cell

Version b
Material: MgCdS2N
Method: DFT, PBEsol
State: relaxed

abc: 5.014 5.014 4.068
angles: 90.00 90.00 90.00
Positions (direct):
Mg 0.000 0.000 0.000
Cd 0.500 0.500 0.500
S 0.000 0.500 0.500
S 0.500 0.000 0.500
N 0.500 0.500 0.000

Results
DOS(E_F) ... 0.402 states/eV per atom
Total magnetic moment ... 2.0 Bohr magnetons per cell

Verdict on stability: version b comes out at the bottom.